Record 1
Density functional theory data (PBEsol) for a geometry-optimized ScInH2 structure.

```
ScInH2
1.0
0.000 2.876 2.876
2.876 0.000 2.876
2.876 2.876 0.000
Sc In H
1 1 2
direct
0.000 0.000 0.000 Sc
0.500 0.500 0.500 In
0.250 0.250 0.250 H
0.750 0.750 0.750 H
```

Relative energy among the computed polymorphs (eV/atom): 0.263
Magnetization (μB per atom): 0.00
N(E_F) (states/eV/f.u.): 1.32

---

Record 2
Density functional theory data (PBEsol) for a geometry-optimized InHSe2 structure.

```
InHSe2
1.0
2.024 1.168 6.402
-2.024 1.168 6.402
0.000 -2.337 6.402
In H Se
1 1 2
direct
0.000 0.000 0.000 In
0.500 0.500 0.500 H
0.408 0.408 0.408 Se
0.592 0.592 0.592 Se
```

Relative energy among the computed polymorphs (eV/atom): 0.039
Magnetization (μB per atom): 0.00

---

Record 3
Density functional theory data (PBEsol) for a geometry-optimized InHSe2 structure.

```
InHSe2
1.0
6.810 0.000 0.000
0.000 4.042 0.000
-0.172 0.000 6.857
In H Se
2 2 4
direct
0.000 0.241 0.000 In
0.000 0.759 0.500 In
0.368 0.453 0.190 H
0.368 0.547 0.690 H
0.370 0.213 0.022 Se
0.370 0.787 0.522 Se
0.816 0.256 0.332 Se
0.816 0.744 0.832 Se
```

Relative energy among the computed polymorphs (eV/atom): 0.000
Magnetization (μB per atom): 0.00

---

Record 4
Density functional theory data (PBEsol) for a geometry-optimized InHSe2 structure.

```
InHSe2
1.0
-2.743 2.743 5.444
2.743 -2.743 5.444
2.743 2.743 -5.444
In H Se
2 2 4
direct
0.000 0.000 0.000 In
0.750 0.250 0.500 In
0.250 0.750 0.500 H
0.500 0.500 0.000 H
0.192 0.625 0.067 Se
0.375 0.442 0.567 Se
0.558 0.125 0.933 Se
0.875 0.808 0.433 Se
```

Relative energy among the computed polymorphs (eV/atom): 0.244
Magnetization (μB per atom): 0.00
N(E_F) (states/eV/f.u.): 0.34

---

Record 5
Density functional theory data (PBEsol) for a geometry-optimized InSi3H structure.

```
InSi3H
1.0
4.159 0.000 0.000
0.000 4.159 0.000
0.000 0.000 4.159
In Si H
1 3 1
direct
0.000 0.000 0.000 In
0.000 0.500 0.500 Si
0.500 0.000 0.500 Si
0.500 0.500 0.000 Si
0.500 0.500 0.500 H
```

Relative energy among the computed polymorphs (eV/atom): 0.000
Magnetization (μB per atom): 0.00
N(E_F) (states/eV/f.u.): 2.01

---

Record 6
Density functional theory data (PBEsol) for a geometry-optimized InSi3H structure.

```
InSi3H
1.0
5.110 0.000 0.000
0.000 5.110 0.000
0.000 0.000 5.110
In Si H
1 3 1
direct
0.000 0.000 0.000 In
0.000 0.000 0.500 Si
0.000 0.500 0.000 Si
0.500 0.000 0.000 Si
0.500 0.500 0.500 H
```

Relative energy among the computed polymorphs (eV/atom): 1.236
Magnetization (μB per atom): 0.11
N(E_F) (states/eV/f.u.): 2.95

---

Record 7
Density functional theory data (PBEsol) for a geometry-optimized Sr3InH structure.

```
Sr3InH
1.0
5.254 0.000 0.000
0.000 5.254 0.000
0.000 0.000 5.254
Sr In H
3 1 1
direct
0.000 0.000 0.500 Sr
0.000 0.500 0.000 Sr
0.500 0.000 0.000 Sr
0.500 0.500 0.500 In
0.000 0.000 0.000 H
```

Relative energy among the computed polymorphs (eV/atom): 0.000
Magnetization (μB per atom): 0.00
N(E_F) (states/eV/f.u.): 4.39

---

Record 8
Density functional theory data (PBEsol) for a geometry-optimized Ta2InH structure.

```
Ta2InH
1.0
0.000 3.171 3.171
3.171 0.000 3.171
3.171 3.171 0.000
Ta In H
2 1 1
direct
0.250 0.250 0.250 Ta
0.750 0.750 0.750 Ta
0.000 0.000 0.000 In
0.500 0.500 0.500 H
```

Raw total energy (Ha/atom): -0.2547
Magnetization (μB per atom): 0.00
N(E_F) (states/eV/f.u.): 3.25

---

Record 9
Density functional theory data (PBEsol) for a geometry-optimized In2TcH structure.

```
In2TcH
1.0
0.000 3.212 3.212
3.212 0.000 3.212
3.212 3.212 0.000
In Tc H
2 1 1
direct
0.250 0.250 0.250 In
0.750 0.750 0.750 In
0.000 0.000 0.000 Tc
0.500 0.500 0.500 H
```

Raw total energy (Ha/atom): -0.1563
Magnetization (μB per atom): 0.49
N(E_F) (states/eV/f.u.): 4.08

---

Record 10
Density functional theory data (PBEsol) for a geometry-optimized InTeH structure.

```
InTeH
1.0
4.276 0.000 0.000
2.135 3.707 0.000
0.279 0.152 10.442
In Te H
2 2 2
direct
0.006 0.004 0.368 In
0.994 0.996 0.632 In
0.321 0.324 0.765 Te
0.679 0.676 0.235 Te
0.043 0.047 0.981 H
0.957 0.953 0.019 H
```

Raw total energy (Ha/atom): -0.1260
Magnetization (μB per atom): 0.00

---

Record 11
Density functional theory data (PBEsol) for a geometry-optimized TiInH structure.

```
TiInH
1.0
3.147 0.000 0.000
-1.574 2.726 0.000
0.000 0.000 4.681
Ti In H
1 1 1
direct
0.000 0.000 0.000 Ti
0.333 0.667 0.500 In
0.667 0.333 0.000 H
```

Raw total energy (Ha/atom): -0.1923
Magnetization (μB per atom): 0.00
N(E_F) (states/eV/f.u.): 1.28

---

Record 12
Density functional theory data (PBEsol) for a geometry-optimized TiInH2W structure.

```
TiInH2W
1.0
3.682 0.000 0.000
0.000 3.682 0.000
0.000 0.000 5.366
Ti In H W
1 1 2 1
direct
0.000 0.000 0.000 Ti
0.000 0.000 0.500 In
0.000 0.500 0.000 H
0.500 0.000 0.000 H
0.500 0.500 0.500 W
```

Raw total energy (Ha/atom): -0.1955
Magnetization (μB per atom): 0.18
N(E_F) (states/eV/f.u.): 3.09

---

Record 13
Density functional theory data (PBEsol) for a geometry-optimized Y2InH2 structure.

```
Y2InH2
1.0
-1.867 1.867 5.991
1.867 -1.867 5.991
1.867 1.867 -5.991
Y In H
2 1 2
direct
0.152 0.152 0.000 Y
0.848 0.848 0.000 Y
0.500 0.500 0.000 In
0.250 0.750 0.500 H
0.750 0.250 0.500 H
```

Raw total energy (Ha/atom): -0.1970
Magnetization (μB per atom): 0.00
N(E_F) (states/eV/f.u.): 1.39

---

Record 14
Density functional theory data (PBEsol) for a geometry-optimized ZnIn3H structure.

```
ZnIn3H
1.0
5.108 0.000 0.000
0.000 5.108 0.000
0.000 0.000 5.108
Zn In H
1 3 1
direct
0.000 0.000 0.000 Zn
0.000 0.000 0.500 In
0.000 0.500 0.000 In
0.500 0.000 0.000 In
0.500 0.500 0.500 H
```

Raw total energy (Ha/atom): -0.0773
Magnetization (μB per atom): 0.00
N(E_F) (states/eV/f.u.): 2.12

---

Record 15
Density functional theory data (PBEsol) for a geometry-optimized ZnInH2 structure.

```
ZnInH2
1.0
0.000 2.868 2.868
2.868 0.000 2.868
2.868 2.868 0.000
Zn In H
1 1 2
direct
0.000 0.000 0.000 Zn
0.500 0.500 0.500 In
0.250 0.250 0.250 H
0.750 0.750 0.750 H
```

Raw total energy (Ha/atom): -0.0806
Magnetization (μB per atom): 0.00
N(E_F) (states/eV/f.u.): 1.10

---

Record 16
Density functional theory data (PBEsol) for a geometry-optimized Zn2InH2 structure.

```
Zn2InH2
1.0
-1.592 1.592 6.185
1.592 -1.592 6.185
1.592 1.592 -6.185
Zn In H
2 1 2
direct
0.161 0.161 0.000 Zn
0.839 0.839 0.000 Zn
0.500 0.500 0.000 In
0.250 0.750 0.500 H
0.750 0.250 0.500 H
```

Raw total energy (Ha/atom): -0.0822
Magnetization (μB per atom): 0.00
N(E_F) (states/eV/f.u.): 1.14

---

Record 17
Density functional theory data (PBEsol) for a geometry-optimized ZrInH3 structure.

```
ZrInH3
1.0
3.837 0.000 0.000
0.000 3.837 0.000
0.000 0.000 3.837
Zr In H
1 1 3
direct
0.000 0.000 0.000 Zr
0.500 0.500 0.500 In
0.000 0.000 0.500 H
0.000 0.500 0.000 H
0.500 0.000 0.000 H
```

Raw total energy (Ha/atom): -0.1643
Magnetization (μB per atom): 0.00
N(E_F) (states/eV/f.u.): 1.80

---

Record 18
Density functional theory data (PBEsol) for a geometry-optimized ZrInH2 structure.

```
ZrInH2
1.0
0.000 2.884 2.884
2.884 0.000 2.884
2.884 2.884 0.000
Zr In H
1 1 2
direct
0.000 0.000 0.000 Zr
0.500 0.500 0.500 In
0.250 0.250 0.250 H
0.750 0.750 0.750 H
```

Relative energy among the computed polymorphs (eV/atom): 0.349
Magnetization (μB per atom): 0.00
N(E_F) (states/eV/f.u.): 1.89

---

Record 19
Density functional theory data (PBEsol) for a geometry-optimized ZrInH2 structure.

```
ZrInH2
1.0
-2.208 2.208 5.429
2.208 -2.208 5.429
2.208 2.208 -5.429
Zr In H
2 2 4
direct
0.000 0.000 0.000 Zr
0.750 0.250 0.500 Zr
0.250 0.750 0.500 In
0.500 0.500 0.000 In
0.032 0.625 0.907 H
0.375 0.282 0.407 H
0.718 0.125 0.093 H
0.875 0.968 0.593 H
```

Relative energy among the computed polymorphs (eV/atom): 0.000
Magnetization (μB per atom): 0.00
N(E_F) (states/eV/f.u.): 1.74

---

Record 20
Density functional theory data (PBEsol) for a geometry-optimized Zr2InH2 structure.

```
Zr2InH2
1.0
-1.887 1.887 4.795
1.887 -1.887 4.795
1.887 1.887 -4.795
Zr In H
2 1 2
direct
0.164 0.164 0.000 Zr
0.836 0.836 0.000 Zr
0.500 0.500 0.000 In
0.250 0.750 0.500 H
0.750 0.250 0.500 H
```

Raw total energy (Ha/atom): -0.2229
Magnetization (μB per atom): 0.00
N(E_F) (states/eV/f.u.): 3.04

---

Record 21
Density functional theory data (PBEsol) for a geometry-optimized LaTeH2Ir structure.

```
LaTeH2Ir
1.0
4.062 0.000 0.000
0.000 4.062 0.000
0.000 0.000 5.298
La Te H Ir
1 1 2 1
direct
0.000 0.000 0.000 La
0.500 0.500 0.500 Te
0.000 0.500 0.500 H
0.500 0.000 0.500 H
0.500 0.500 0.000 Ir
```

Raw total energy (Ha/atom): -0.1849
Magnetization (μB per atom): 0.00
N(E_F) (states/eV/f.u.): 1.71

---

Record 22
Density functional theory data (PBEsol) for a geometry-optimized Li3H6Ir structure.

```
Li3H6Ir
1.0
8.352 0.000 0.000
0.000 4.665 0.000
0.000 0.000 8.539
Li H Ir
12 24 4
direct
0.043 0.250 0.134 Li
0.102 0.750 0.527 Li
0.228 0.250 0.747 Li
0.272 0.750 0.247 Li
0.398 0.250 0.027 Li
0.457 0.750 0.634 Li
0.543 0.250 0.366 Li
0.602 0.750 0.973 Li
0.728 0.250 0.753 Li
0.772 0.750 0.253 Li
0.898 0.250 0.473 Li
0.957 0.750 0.866 Li
0.098 0.004 0.328 H
0.098 0.496 0.328 H
0.114 0.250 0.562 H
0.152 0.001 0.968 H
0.152 0.499 0.968 H
0.173 0.750 0.735 H
0.327 0.250 0.235 H
0.348 0.501 0.468 H
0.348 0.999 0.468 H
0.386 0.750 0.062 H
0.402 0.504 0.828 H
0.402 0.996 0.828 H
0.598 0.004 0.172 H
0.598 0.496 0.172 H
0.614 0.250 0.938 H
0.652 0.001 0.532 H
0.652 0.499 0.532 H
0.673 0.750 0.765 H
0.827 0.250 0.265 H
0.848 0.501 0.032 H
0.848 0.999 0.032 H
0.886 0.750 0.438 H
0.902 0.504 0.672 H
0.902 0.996 0.672 H
0.223 0.250 0.400 Ir
0.277 0.750 0.900 Ir
0.723 0.250 0.100 Ir
0.777 0.750 0.600 Ir
```

Raw total energy (Ha/atom): -0.1480
Magnetization (μB per atom): 0.00
N(E_F) (states/eV/f.u.): 0.00

---

Record 23
Density functional theory data (PBEsol) for a geometry-optimized LiMgH6Ir structure.

```
LiMgH6Ir
1.0
6.584 0.000 0.000
0.000 6.584 0.000
0.000 0.000 6.584
Li Mg H Ir
4 4 24 4
direct
0.000 0.000 0.000 Li
0.000 0.000 0.500 Li
0.000 0.500 0.000 Li
0.500 0.000 0.000 Li
0.000 0.500 0.500 Mg
0.500 0.000 0.500 Mg
0.500 0.500 0.000 Mg
0.500 0.500 0.500 Mg
0.005 0.249 0.249 H
0.005 0.751 0.751 H
0.247 0.247 0.509 H
0.247 0.491 0.753 H
0.247 0.509 0.247 H
0.247 0.753 0.491 H
0.249 0.005 0.249 H
0.249 0.249 0.005 H
0.249 0.751 0.995 H
0.249 0.995 0.751 H
0.491 0.247 0.753 H
0.491 0.753 0.247 H
0.509 0.247 0.247 H
0.509 0.753 0.753 H
0.751 0.005 0.751 H
0.751 0.249 0.995 H
0.751 0.751 0.005 H
0.751 0.995 0.249 H
0.753 0.247 0.491 H
0.753 0.491 0.247 H
0.753 0.509 0.753 H
0.753 0.753 0.509 H
0.995 0.249 0.751 H
0.995 0.751 0.249 H
0.256 0.256 0.256 Ir
0.256 0.744 0.744 Ir
0.744 0.256 0.744 Ir
0.744 0.744 0.256 Ir
```

Raw total energy (Ha/atom): -0.1521
Magnetization (μB per atom): 0.00
N(E_F) (states/eV/f.u.): 0.00

---

Record 24
Density functional theory data (PBEsol) for a geometry-optimized MgH3Ir structure.

```
MgH3Ir
1.0
-2.223 3.164 3.060
2.223 -3.164 3.060
2.223 3.164 -3.060
Mg H Ir
2 6 2
direct
0.171 0.250 0.421 Mg
0.829 0.750 0.579 Mg
0.142 0.296 0.879 H
0.142 0.763 0.346 H
0.417 0.263 0.121 H
0.417 0.796 0.654 H
0.591 0.091 0.500 H
0.591 0.591 0.000 H
0.554 0.976 0.078 Ir
0.899 0.476 0.922 Ir
```

Raw total energy (Ha/atom): -0.1668
Magnetization (μB per atom): 0.00
N(E_F) (states/eV/f.u.): 0.33